1.
The following is a DFT calculation (GGA-PBE) of an optimized crystal structure of Dy2ScTl3S6.

Cell lengths 6.859, 11.872, 7.844 Å; angles 90.00, 106.92, 90.00 degrees
Space group C2/m (No. 12)
Inequivalent atoms, fractional coordinates:
Dy 0.000 0.167 0.000
Sc 0.000 0.500 0.000
Tl 0.000 0.000 0.500
Tl 0.000 0.331 0.500
S 0.225 0.340 0.194
S 0.245 0.000 0.197

Values from the calculation:
calculated volume: 25.5 A^3/atom
raw total energy: -5.39 eV/atom

2.
The following is a DFT calculation (GGA-PBE) of an optimized crystal structure of DyScTl2S4.

Cell lengths 6.791, 3.924, 7.834 Å; angles 90.00, 106.77, 90.00 degrees
Space group P2/m (No. 10)
Inequivalent atoms, fractional coordinates:
Dy 0.000 0.000 0.000
Sc 0.500 0.500 0.000
Tl 0.000 0.500 0.500
Tl 0.500 0.000 0.500
S 0.244 0.500 0.196
S 0.281 0.000 0.809

Values from the calculation:
calculated volume: 25.0 A^3/atom
raw total energy: -5.44 eV/atom

3.
The following is a DFT calculation (GGA-PBE) of an optimized crystal structure of DySc2Tl3S6.

Cell lengths 6.731, 11.647, 7.821 Å; angles 90.00, 106.67, 90.00 degrees
Space group C2/m (No. 12)
Inequivalent atoms, fractional coordinates:
Dy 0.000 0.000 0.000
Sc 0.000 0.333 0.000
Tl 0.000 0.164 0.500
Tl 0.000 0.500 0.500
S 0.217 0.500 0.190
S 0.237 0.173 0.193

Values from the calculation:
calculated volume: 24.5 A^3/atom
raw total energy: -5.50 eV/atom

4.
The following is a DFT calculation (GGA-PBE) of an optimized crystal structure of DyScTlS.

Cell lengths 3.686, 3.688, 8.228 Å; angles 89.98, 77.11, 60.07 degrees
Space group P1 (No. 1)
Inequivalent atoms, fractional coordinates:
Dy 0.000 0.000 0.000
Sc 0.410 0.795 0.387
Tl 0.876 0.563 0.685
S 0.196 0.402 0.207

Values from the calculation:
calculated volume: 23.4 A^3/atom
raw total energy: -5.45 eV/atom

5.
The following is a DFT calculation (GGA-PBE) of an optimized crystal structure of Dy3ScTl3S8.

Cell lengths 13.750, 7.938, 8.665 Å; angles 90.00, 121.99, 90.00 degrees
Space group C2/m (No. 12)
Inequivalent atoms, fractional coordinates:
Dy 0.000 0.000 0.000
Dy 0.250 0.250 0.000
Sc 0.000 0.500 0.000
Tl 0.000 0.500 0.500
Tl 0.250 0.250 0.500
S 0.015 0.260 0.804
S 0.225 0.500 0.196
S 0.234 0.000 0.203

Values from the calculation:
calculated volume: 26.7 A^3/atom
raw total energy: -5.48 eV/atom

6.
The following is a DFT calculation (GGA-PBE) of an optimized crystal structure of DyTm3Sc2S6.

Cell lengths 6.582, 11.440, 6.589 Å; angles 90.00, 109.49, 90.00 degrees
Space group C2/m (No. 12)
Inequivalent atoms, fractional coordinates:
Dy 0.000 0.000 0.000
Tm 0.000 0.163 0.500
Tm 0.000 0.500 0.500
Sc 0.000 0.334 0.000
S 0.238 0.500 0.243
S 0.247 0.329 0.754

Values from the calculation:
calculated volume: 19.5 A^3/atom
raw total energy: -6.54 eV/atom

Question: Among the records above, which one has the lowest calculated volume?
Answer: DyTm3Sc2S6

Question: Number 4 is which compound?
Answer: DyScTlS

Question: Which value of raw total energy does entry 6 give?
Answer: -6.54 eV/atom